[1]
DFT (PBE) results for a relaxed Li2ZrBe crystal.

Lattice parameters (Å, degrees): 4.368 4.368 4.368 60.00 60.00 60.00
Positions (direct):
Be  0.500  0.500  0.500
Li  0.000  0.000  0.000
Li  0.750  0.750  0.750
Zr  0.250  0.250  0.250

Computed properties:
SG: F-43m (216)

[2]
DFT (PBE) results for a relaxed LiZrBe2 crystal.

Lattice parameters (Å, degrees): 4.158 4.158 4.158 60.00 60.00 60.00
Positions (direct):
Be  0.000  0.000  0.000
Be  0.750  0.750  0.750
Li  0.500  0.500  0.500
Zr  0.250  0.250  0.250

Computed properties:
SG: F-43m (216)

[3]
DFT (PBE) results for a relaxed LuBe crystal.

Lattice parameters (Å, degrees): 3.908 3.908 3.908 60.00 60.00 60.00
Positions (direct):
Be  0.000  0.000  0.000
Lu  0.500  0.500  0.500

Computed properties:
SG: Fm-3m (225)
Offset from the most stable computed form, eV/atom: 0.000

[4]
DFT (PBE) results for a relaxed LuBe crystal.

Lattice parameters (Å, degrees): 4.292 4.292 4.292 60.00 60.00 60.00
Positions (direct):
Be  0.000  0.000  0.000
Lu  0.250  0.250  0.250

Computed properties:
SG: F-43m (216)
Offset from the most stable computed form, eV/atom: 0.776

Number 1: energy -3.78 eV per atom. Number 2: energy -4.37 eV per atom. Number 3: energy -3.66 eV per atom. Number 4: energy -2.88 eV per atom.